Computed, not measured: Y3MoPb after structural relaxation at the GGA-PBE level of DFT.

Unit cell a=5.366 b=5.366 c=5.366 alpha=90.00 beta=90.00 gamma=90.00
Fractional positions:
Y: 0.000 0.000 0.500
Y: 0.000 0.500 0.000
Y: 0.500 0.000 0.000
Mo: 0.000 0.000 0.000
Pb: 0.500 0.500 0.500

Computed properties:
energy relative to the elements	0.292	eV/atom
relative energy among the computed polymorphs	0	meV/atom



Computed, not measured: Li2InAgBr6 after structural relaxation at the GGA-PBE level of DFT.

Unit cell a=7.527 b=7.527 c=7.527 alpha=55.03 beta=55.03 gamma=55.03
Fractional positions:
Li: 0.000 0.000 0.000
Li: 0.490 0.490 0.490
In: 0.810 0.810 0.810
Ag: 0.292 0.292 0.292
Br: 0.080 0.412 0.720
Br: 0.220 0.878 0.608
Br: 0.412 0.720 0.080
Br: 0.608 0.220 0.878
Br: 0.720 0.080 0.412
Br: 0.878 0.608 0.220

Computed properties:
formation energy without anion corrections	-978.7	meV per atom



Computed, not measured: CoIr2Se after structural relaxation at the GGA-PBE level of DFT.

Unit cell a=2.802 b=3.604 c=5.724 alpha=90.00 beta=90.00 gamma=90.00
Fractional positions:
Co: 0.000 0.000 0.000
Ir: 0.000 0.000 0.483
Ir: 0.500 0.500 0.242
Se: 0.500 0.500 0.803

Computed properties:
formation energy without anion corrections	364.8	meV per atom



Computed, not measured: La2SmTm after structural relaxation at the GGA-PBE level of DFT.

Unit cell a=5.195 b=5.195 c=5.076 alpha=90.00 beta=90.00 gamma=90.00
Fractional positions:
La: 0.000 0.500 0.000
La: 0.500 0.000 0.000
Sm: 0.000 0.000 0.500
Tm: 0.500 0.500 0.500

Computed properties:
energy relative to the elements	0.017	eV/atom
relative energy among the computed polymorphs	2	meV/atom



Computed, not measured: LiTlPd2 after structural relaxation at the GGA-PBE level of DFT.

Unit cell a=3.355 b=3.355 c=5.954 alpha=90.00 beta=90.00 gamma=90.00
Fractional positions:
Li: 0.000 0.000 0.000
Tl: 0.000 0.000 0.500
Pd: 0.500 0.500 0.234
Pd: 0.500 0.500 0.766

Computed properties:
energy relative to the elements	-0.281	eV/atom



Computed, not measured: Sr2UVS6 after structural relaxation at the GGA-PBE level of DFT.

Unit cell a=6.844 b=6.844 c=6.844 alpha=61.48 beta=61.48 gamma=61.48
Fractional positions:
Sr: 0.237 0.237 0.237
Sr: 0.763 0.763 0.763
U: 0.500 0.500 0.500
V: 0.000 0.000 0.000
S: 0.169 0.314 0.760
S: 0.240 0.831 0.686
S: 0.314 0.760 0.169
S: 0.686 0.240 0.831
S: 0.760 0.169 0.314
S: 0.831 0.686 0.240

Computed properties:
formation energy without anion corrections	-1512.5	meV per atom



Computed, not measured: FeIrBr2 after structural relaxation at the GGA-PBE level of DFT.

Unit cell a=3.142 b=3.298 c=17.871 alpha=90.00 beta=90.00 gamma=90.00
Fractional positions:
Fe: 0.000 0.000 0.000
Fe: 0.500 0.500 0.500
Ir: 0.000 0.500 0.903
Ir: 0.500 0.000 0.403
Br: 0.000 0.000 0.586
Br: 0.000 0.500 0.309
Br: 0.500 0.000 0.809
Br: 0.500 0.500 0.086

Computed properties:
relative energy among the computed polymorphs	371	meV/atom
formation energy without anion corrections	488.7	meV per atom



Computed, not measured: WSeS2Cl after structural relaxation at the GGA-PBE level of DFT.

Unit cell a=4.891 b=4.891 c=4.640 alpha=90.00 beta=90.00 gamma=90.00
Fractional positions:
W: 0.000 0.000 0.000
Se: 0.500 0.500 0.500
S: 0.000 0.500 0.500
S: 0.500 0.000 0.500
Cl: 0.500 0.500 0.000

Computed properties:
relative energy among the computed polymorphs	1052	meV/atom
formation energy without anion corrections	1344.1	meV per atom



Computed, not measured: TbSi2Rh4 after structural relaxation at the GGA-PBE level of DFT.

Unit cell a=16.660 b=4.043 c=6.419 alpha=90.00 beta=90.00 gamma=90.00
Fractional positions:
Tb: 0.138 0.250 0.006
Tb: 0.362 0.750 0.506
Tb: 0.638 0.250 0.494
Tb: 0.862 0.750 0.994
Si: 0.039 0.750 0.262
Si: 0.217 0.250 0.526
Si: 0.283 0.750 0.026
Si: 0.461 0.250 0.762
Si: 0.539 0.750 0.238
Si: 0.717 0.250 0.974
Si: 0.783 0.750 0.474
Si: 0.961 0.250 0.738
Rh: 0.030 0.750 0.856
Rh: 0.074 0.250 0.500
Rh: 0.184 0.750 0.313
Rh: 0.196 0.750 0.732
Rh: 0.304 0.250 0.232
Rh: 0.316 0.250 0.813
Rh: 0.426 0.750 0.000
Rh: 0.470 0.250 0.356
Rh: 0.530 0.750 0.644
Rh: 0.574 0.250 0.000
Rh: 0.684 0.750 0.187
Rh: 0.696 0.750 0.768
Rh: 0.804 0.250 0.268
Rh: 0.816 0.250 0.687
Rh: 0.926 0.750 0.500
Rh: 0.970 0.250 0.144

Computed properties:
relative energy among the computed polymorphs	0	meV/atom
formation energy without anion corrections	-907.5	meV per atom



Computed, not measured: NpUSe4 after structural relaxation at the GGA-PBE level of DFT.

Unit cell a=6.795 b=6.789 c=6.793 alpha=90.00 beta=90.10 gamma=90.00
Fractional positions:
Np: 0.000 0.000 0.000
Np: 0.500 0.500 0.000
U: 0.000 0.500 0.500
U: 0.500 0.000 0.500
Se: 0.250 0.250 0.252
Se: 0.250 0.250 0.748
Se: 0.250 0.750 0.252
Se: 0.250 0.750 0.748
Se: 0.750 0.250 0.252
Se: 0.750 0.250 0.748
Se: 0.750 0.750 0.252
Se: 0.750 0.750 0.748

Computed properties:
relative energy among the computed polymorphs	0	meV/atom
formation energy without anion corrections	-1076.4	meV per atom



Computed, not measured: SrNiW3 after structural relaxation at the GGA-PBE level of DFT.

Unit cell a=4.719 b=4.719 c=4.719 alpha=90.00 beta=90.00 gamma=90.00
Fractional positions:
Sr: 0.000 0.000 0.000
Ni: 0.500 0.500 0.500
W: 0.000 0.000 0.500
W: 0.000 0.500 0.000
W: 0.500 0.000 0.000

Computed properties:
energy relative to the elements	3.857	eV/atom
relative energy among the computed polymorphs	2215	meV/atom



Computed, not measured: Tl2SnOs after structural relaxation at the GGA-PBE level of DFT.

Unit cell a=7.138 b=7.138 c=7.138 alpha=90.00 beta=90.00 gamma=90.00
Fractional positions:
Tl: 0.250 0.250 0.250
Tl: 0.250 0.250 0.750
Tl: 0.250 0.750 0.250
Tl: 0.250 0.750 0.750
Tl: 0.750 0.250 0.250
Tl: 0.750 0.250 0.750
Tl: 0.750 0.750 0.250
Tl: 0.750 0.750 0.750
Sn: 0.000 0.000 0.000
Sn: 0.000 0.500 0.500
Sn: 0.500 0.000 0.500
Sn: 0.500 0.500 0.000
Os: 0.000 0.000 0.500
Os: 0.000 0.500 0.000
Os: 0.500 0.000 0.000
Os: 0.500 0.500 0.500

Computed properties:
energy relative to the elements	0.972	eV/atom
relative energy among the computed polymorphs	98	meV/atom



no.,M_tot (μB per atom)
1,0.000
2,0.000
3,0.195
4,0.000
5,0.000
6,0.300
7,0.907
8,0.801
9,0.000
10,0.833
11,0.000
12,0.000